Tb2CuSe3 after structural relaxation. Source: OQMD, functional GGA-PBE.

```
Tb2CuSe3
1.0
10.510 0.000 0.000
0.000 3.899 0.000
0.000 0.000 13.267
Tb Cu Se
8 4 12
Direct
0.018 0.250 0.244
0.220 0.750 0.515
0.280 0.250 0.015
0.482 0.750 0.744
0.518 0.250 0.256
0.720 0.750 0.985
0.780 0.250 0.485
0.982 0.750 0.756
0.234 0.250 0.725
0.266 0.750 0.225
0.734 0.250 0.775
0.766 0.750 0.275
0.050 0.250 0.606
0.099 0.750 0.097
0.235 0.750 0.845
0.265 0.250 0.345
0.401 0.250 0.597
0.450 0.750 0.106
0.550 0.250 0.894
0.599 0.750 0.403
0.735 0.750 0.655
0.765 0.250 0.155
0.901 0.250 0.903
0.950 0.750 0.394
```

Computed properties:
- M_tot (μB/atom) = 0.0015
- crystal system = orthorhombic
- total DFT energy (no corrections) (eV per cell) = -127.1